Entry 1:
Compound: Tb4PrCd
Source: the Alexandria database
Functional: PBE-GGA
Structure: optimized geometry

Structure (extended XYZ):
```
6
Lattice="3.617 0.000 0.000 0.000 3.617 0.000 0.000 0.000 14.177" Properties=species:S:1:pos:R:3 pbc="T T T"
Tb 1.809 1.809 2.570
Tb 0.000 0.000 5.045
Tb 1.809 1.809 11.607
Tb 0.000 0.000 9.132
Pr 0.000 0.000 0.000
Cd 1.809 1.809 7.089
```

Calculated values
SG ... P4/mmm (123)
Mass density ... 7.96 g/cm3
Crystal system ... tetragonal
E_tot ... -4.13 eV/atom
Offset from the most stable computed form ... 0 meV/atom

***

Entry 2:
Compound: OsBr4Cl4
Source: the Alexandria database
Functional: PBE-GGA
Structure: optimized geometry

Structure (extended XYZ):
```
18
Lattice="7.690 0.369 2.011 0.677 7.259 -0.831 3.828 -1.511 15.073" Properties=species:S:1:pos:R:3 pbc="T T T"
Br 3.622 5.242 8.208
Br 8.277 -0.134 14.544
Br 5.519 -0.283 14.901
Br 6.980 3.565 14.160
Br 8.073 1.420 5.165
Br 9.339 2.051 10.666
Br 5.714 2.008 4.973
Br 4.407 1.831 8.298
Os 4.880 3.791 6.822
Os 1.894 6.527 0.473
Cl 2.977 -0.049 2.702
Cl 1.361 4.889 1.976
Cl 7.562 6.706 1.480
Cl 6.902 3.981 7.827
Cl 3.120 3.108 5.425
Cl 10.484 -0.003 14.171
Cl 7.132 1.920 11.039
Cl 5.413 5.429 5.319
```

Calculated values
Formation energy (no corrections) ... -154 meV per atom
SG ... P-1 (2)
Mass density ... 2.81 g/cm3
Crystal system ... triclinic
E_tot ... -2.97 eV/atom

***

Entry 3:
Compound: Mn4Pt2N
Source: the Alexandria database
Functional: PBE-GGA
Structure: optimized geometry

Structure (extended XYZ):
```
28
Lattice="-5.589 -5.189 -2.828 2.323 -6.815 -3.783 -1.047 -7.214 3.608" Properties=species:S:1:pos:R:3 pbc="T T T"
Pt -3.245 -13.557 -3.800
Pt -1.633 -14.276 -1.515
Pt -3.617 -16.119 -2.519
Pt -4.442 -13.699 -1.176
Pt -0.948 -10.323 -2.578
Pt -1.773 -7.903 -1.235
Pt -2.145 -10.464 0.046
Pt -3.758 -9.745 -2.239
N -3.333 -4.997 -1.789
N -1.063 -6.009 1.429
N -0.539 -2.402 -0.375
N 0.623 -5.810 -2.267
Mn -2.172 -8.404 -3.681
Mn -2.682 -5.805 0.066
Mn 0.099 -9.416 -0.463
Mn 0.151 -6.387 -0.276
Mn -1.444 -8.071 1.779
Mn -1.475 -5.662 -2.580
Mn 0.526 -3.804 -1.568
Mn -2.868 -11.146 -4.782
Mn -0.681 -3.947 1.079
Mn -4.360 -6.771 -2.353
Mn -3.857 -8.603 0.015
Mn -2.695 -12.011 -1.877
Mn 0.047 -12.446 -0.650
Mn 0.720 -7.815 -2.966
Mn -2.307 -3.222 -1.226
Mn -5.032 -11.402 -0.037
```

Calculated values
Formation energy (no corrections) ... -163 meV per atom
SG ... Fd-3m (227)
Mass density ... 10.89 g/cm3
Crystal system ... cubic
E_tot ... -8.32 eV/atom

***

Entry 4:
Compound: AcTbCoIr
Source: the Alexandria database
Functional: PBE-GGA
Structure: optimized geometry

Structure (extended XYZ):
```
4
Lattice="-4.580 0.065 2.073 -0.615 -1.422 4.783 -1.120 3.417 3.515" Properties=species:S:1:pos:R:3 pbc="T T T"
Tb -3.158 1.030 5.185
Ac 0.000 0.000 0.000
Co -1.579 0.515 2.593
Ir -4.736 1.545 7.778
```

Calculated values
SG ... F-43m (216)
Mass density ... 11.77 g/cm3
Crystal system ... cubic
E_tot ... -6.42 eV/atom

***

> The lowest E_tot belongs to which entry?

Mn4Pt2N

***

Copy entry 2 word for word.
Compound: OsBr4Cl4
Source: the Alexandria database
Functional: PBE-GGA
Structure: optimized geometry

Structure (extended XYZ):
```
18
Lattice="7.690 0.369 2.011 0.677 7.259 -0.831 3.828 -1.511 15.073" Properties=species:S:1:pos:R:3 pbc="T T T"
Br 3.622 5.242 8.208
Br 8.277 -0.134 14.544
Br 5.519 -0.283 14.901
Br 6.980 3.565 14.160
Br 8.073 1.420 5.165
Br 9.339 2.051 10.666
Br 5.714 2.008 4.973
Br 4.407 1.831 8.298
Os 4.880 3.791 6.822
Os 1.894 6.527 0.473
Cl 2.977 -0.049 2.702
Cl 1.361 4.889 1.976
Cl 7.562 6.706 1.480
Cl 6.902 3.981 7.827
Cl 3.120 3.108 5.425
Cl 10.484 -0.003 14.171
Cl 7.132 1.920 11.039
Cl 5.413 5.429 5.319
```

Calculated values
Formation energy (no corrections) ... -154 meV per atom
SG ... P-1 (2)
Mass density ... 2.81 g/cm3
Crystal system ... triclinic
E_tot ... -2.97 eV/atom

***

What did the second record say?
Compound: OsBr4Cl4
Source: the Alexandria database
Functional: PBE-GGA
Structure: optimized geometry

Structure (extended XYZ):
```
18
Lattice="7.690 0.369 2.011 0.677 7.259 -0.831 3.828 -1.511 15.073" Properties=species:S:1:pos:R:3 pbc="T T T"
Br 3.622 5.242 8.208
Br 8.277 -0.134 14.544
Br 5.519 -0.283 14.901
Br 6.980 3.565 14.160
Br 8.073 1.420 5.165
Br 9.339 2.051 10.666
Br 5.714 2.008 4.973
Br 4.407 1.831 8.298
Os 4.880 3.791 6.822
Os 1.894 6.527 0.473
Cl 2.977 -0.049 2.702
Cl 1.361 4.889 1.976
Cl 7.562 6.706 1.480
Cl 6.902 3.981 7.827
Cl 3.120 3.108 5.425
Cl 10.484 -0.003 14.171
Cl 7.132 1.920 11.039
Cl 5.413 5.429 5.319
```

Calculated values
Formation energy (no corrections) ... -154 meV per atom
SG ... P-1 (2)
Mass density ... 2.81 g/cm3
Crystal system ... triclinic
E_tot ... -2.97 eV/atom